DFT (PBE with a Hubbard U) results for crystalline MnHPdNO at its relaxed geometry.

The space group is Pm (No. 6) and the conventional cell measures 5.2470, 2.8642 and 5.4732 Å, with angles of 90.00, 114.70 and 90.00 degrees. The distinct sites, in fractional coordinates, are Mn at (0.0000, 0.0000, 0.0000), H at (0.4102, 0.5000, 0.9636), Pd at (0.9980, 0.5000, 0.4984), N at (0.1932, 0.5000, 0.8980) and O at (0.8002, 0.5000, 0.0862).

Its total energy is -30.87 eV/cell. As for the density of states at the Fermi level: 1.8 states/eV/cell. For the polymorph energy (0 for the lowest one), the calculation gives 43 meV/atom.